1.
5
Lattice="5.361 0.000 0.000 0.000 5.361 0.000 0.000 0.000 4.962" Properties=species:S:1:pos:R:3 comment="KMgHg2Rh | Alexandria | PBE-GGA | optimized geometry" dos_at_fermi_per_ev_cell=1.699 final_energy_ev_per_atom=-2.302 pbc="T T T"
K 0.000 0.000 0.000
Mg 2.681 2.681 0.000
Hg 0.000 2.681 2.481
Hg 2.681 0.000 2.481
Rh 2.681 2.681 2.481

---

2.
4
Lattice="0.000 3.833 3.833 3.833 0.000 3.833 3.833 3.833 0.000" Properties=species:S:1:pos:R:3 comment="KMgHgSb | Alexandria | PBE-GGA | optimized geometry" final_energy_ev_per_atom=-2.027 raw_formation_energy_ev_per_atom=-0.25 pbc="T T T"
K 0.000 0.000 0.000
Mg 3.833 3.833 3.833
Hg 1.917 1.917 1.917
Sb 5.750 5.750 5.750

---

3.
5
Lattice="5.630 0.000 0.000 0.000 5.630 0.000 0.000 0.000 5.455" Properties=species:S:1:pos:R:3 comment="KMgHg2Sb | Alexandria | PBE-GGA | optimized geometry" e_above_lowest_polymorph_mev_per_atom=0.0 dos_at_fermi_per_ev_cell=1.719 final_energy_ev_per_atom=-1.632 raw_formation_energy_ev_per_atom=-0.15 pbc="T T T"
K 0.000 0.000 0.000
Mg 2.815 2.815 2.728
Hg 0.000 2.815 2.728
Hg 2.815 0.000 2.728
Sb 2.815 2.815 0.000

---

4.
5
Lattice="5.897 0.000 0.000 0.000 5.897 0.000 0.000 0.000 6.678" Properties=species:S:1:pos:R:3 comment="KMgHg2Sb | Alexandria | PBE-GGA | optimized geometry" e_above_lowest_polymorph_mev_per_atom=293.5 dos_at_fermi_per_ev_cell=1.364 final_energy_ev_per_atom=-1.339 raw_formation_energy_ev_per_atom=0.14 pbc="T T T"
K 0.000 0.000 0.000
Mg 2.949 2.949 0.000
Hg 0.000 2.949 3.339
Hg 2.949 0.000 3.339
Sb 0.000 0.000 3.339

---

5.
9
Lattice="8.438 -2.069 0.000 8.438 2.069 0.000 -2.264 0.000 7.428" Properties=species:S:1:pos:R:3 comment="K2MgHg2Se4 | Alexandria | PBE-GGA | optimized geometry" final_energy_ev_per_atom=-2.798 raw_formation_energy_ev_per_atom=-0.76 pbc="T T T"
K 1.943 0.000 0.384
K 12.669 0.000 7.044
Mg -1.132 0.000 3.714
Hg 4.545 0.000 3.717
Hg 10.067 0.000 3.711
Se 2.048 0.000 5.363
Se 6.571 0.000 5.401
Se 8.041 0.000 2.027
Se 12.564 0.000 2.064

---

6.
10
Lattice="7.750 0.000 0.000 0.000 7.579 0.000 -2.385 0.000 5.603" Properties=species:S:1:pos:R:3 comment="KMgHgSe2 | Alexandria | PBE-GGA | optimized geometry" dos_at_fermi_per_ev_cell=6.492 final_energy_ev_per_atom=-2.769 raw_formation_energy_ev_per_atom=-0.78 pbc="T T T"
K -0.596 1.485 1.401
K -1.788 6.094 4.202
Mg 3.279 7.579 1.401
Mg 2.086 0.000 4.202
Hg 3.875 3.790 0.000
Hg 2.682 3.790 2.801
Se 0.029 1.394 4.981
Se 1.222 6.185 2.180
Se 4.143 1.394 3.422
Se 5.336 6.185 0.621

---

7.
4
Lattice="0.000 3.818 3.818 3.818 0.000 3.818 3.818 3.818 0.000" Properties=species:S:1:pos:R:3 comment="KMgSnHg | Alexandria | PBE-GGA | optimized geometry" dos_at_fermi_per_ev_cell=4.222 final_energy_ev_per_atom=-1.801 pbc="T T T"
K 0.000 0.000 0.000
Mg 3.818 3.818 3.818
Sn 5.727 5.727 5.727
Hg 1.909 1.909 1.909

---

8.
7
Lattice="2.476 1.430 9.480 -2.476 1.430 9.480 0.000 -2.859 9.480" Properties=species:S:1:pos:R:3 comment="KMg2Sn2Hg2 | Alexandria | PBE-GGA | optimized geometry" dos_at_fermi_per_ev_cell=1.819 final_energy_ev_per_atom=-2.012 pbc="T T T"
K 0.000 0.000 0.000
Mg 0.000 0.000 3.977
Mg 0.000 0.000 24.462
Sn 0.000 0.000 7.080
Sn 0.000 0.000 21.359
Hg 0.000 0.000 12.579
Hg 0.000 0.000 15.860

---

9.
10
Lattice="4.768 0.000 0.000 0.000 4.768 0.000 0.000 0.000 12.951" Properties=species:S:1:pos:R:3 comment="K2Mg3Sn4Hg | Alexandria | PBE-GGA | optimized geometry" dos_at_fermi_per_ev_cell=4.551 final_energy_ev_per_atom=-2.502 pbc="T T T"
K 0.000 2.384 3.176
K 2.384 0.000 9.775
Mg 0.000 0.000 0.000
Mg 0.000 2.384 8.300
Mg 2.384 0.000 4.651
Sn 0.000 0.000 6.475
Sn 0.000 2.384 11.173
Sn 2.384 0.000 1.778
Sn 2.384 2.384 6.475
Hg 2.384 2.384 0.000

---

10.
10
Lattice="4.788 0.000 0.000 0.000 4.788 0.000 0.000 0.000 13.011" Properties=species:S:1:pos:R:3 comment="K2MgSn4Hg3 | Alexandria | PBE-GGA | optimized geometry" dos_at_fermi_per_ev_cell=4.514 final_energy_ev_per_atom=-2.240 pbc="T T T"
K 0.000 2.394 3.244
K 2.394 0.000 9.767
Mg 2.394 2.394 0.000
Sn 0.000 0.000 6.506
Sn 0.000 2.394 11.274
Sn 2.394 0.000 1.737
Sn 2.394 2.394 6.506
Hg 0.000 0.000 0.000
Hg 0.000 2.394 8.436
Hg 2.394 0.000 4.575

---

11.
10
Lattice="6.329 0.000 0.000 3.051 7.100 0.000 3.010 -0.590 7.280" Properties=species:S:1:pos:R:3 comment="K2MgSnHg6 | Alexandria | PBE-GGA | optimized geometry" dos_at_fermi_per_ev_cell=4.121 final_energy_ev_per_atom=-1.101 pbc="T T T"
K 1.580 1.499 1.484
K 10.809 5.010 5.795
Mg 4.669 -0.295 3.640
Sn 4.690 3.550 0.000
Hg 3.019 1.283 5.350
Hg 4.834 2.533 2.904
Hg 6.205 5.415 1.749
Hg 6.184 1.094 5.531
Hg 7.555 3.976 4.376
Hg 9.371 5.226 1.930

---

12.
5
Lattice="6.598 0.000 0.000 0.000 6.598 0.000 0.000 0.000 5.133" Properties=species:S:1:pos:R:3 comment="K2MgTcHg | Alexandria | PBE-GGA | optimized geometry" dos_at_fermi_per_ev_cell=2.566 final_energy_ev_per_atom=-1.949 pbc="T T T"
K 0.000 3.299 0.000
K 3.299 0.000 0.000
Mg 0.000 0.000 0.000
Tc 0.000 0.000 2.566
Hg 3.299 3.299 2.566

---

13.
5
Lattice="4.671 0.000 0.000 0.000 4.671 0.000 0.000 0.000 5.190" Properties=species:S:1:pos:R:3 comment="KMgTi2Hg | Alexandria | PBE-GGA | optimized geometry" dos_at_fermi_per_ev_cell=5.935 final_energy_ev_per_atom=-1.992 pbc="T T T"
K 0.000 0.000 0.000
Mg 0.000 0.000 2.595
Ti 0.000 2.335 0.000
Ti 2.335 0.000 0.000
Hg 2.335 2.335 2.595

---

14.
5
Lattice="5.627 0.000 0.000 0.000 5.627 0.000 0.000 0.000 5.572" Properties=species:S:1:pos:R:3 comment="KMgTl2Hg | Alexandria | PBE-GGA | optimized geometry" dos_at_fermi_per_ev_cell=2.824 final_energy_ev_per_atom=-1.531 pbc="T T T"
K 0.000 0.000 0.000
Mg 2.813 2.813 2.786
Tl 0.000 2.813 2.786
Tl 2.813 0.000 2.786
Hg 2.813 2.813 0.000

---

15.
20
Lattice="3.935 2.272 13.195 -3.935 2.272 13.195 0.000 -4.544 13.195" Properties=species:S:1:pos:R:3 comment="K2MgTl6Hg | Alexandria | PBE-GGA | optimized geometry" dos_at_fermi_per_ev_cell=9.262 final_energy_ev_per_atom=-1.838 pbc="T T T"
K 0.000 0.000 4.102
K 0.000 0.000 11.035
K 0.000 0.000 28.552
K 0.000 0.000 35.485
Mg 0.000 0.000 0.000
Mg 0.000 0.000 19.793
Tl -2.327 -1.344 18.616
Tl 0.000 -1.867 14.337
Tl -1.617 0.933 14.337
Tl 0.000 -2.688 20.970
Tl -2.327 1.344 20.970
Tl -1.617 -0.933 25.250
Tl 1.617 0.933 14.337
Tl 2.327 -1.344 18.616
Tl 0.000 2.688 18.616
Tl 1.617 -0.933 25.250
Tl 0.000 1.867 25.250
Tl 2.327 1.344 20.970
Hg 0.000 0.000 16.911
Hg 0.000 0.000 22.675

---

16.
10
Lattice="6.144 0.000 0.000 2.448 7.157 0.000 2.262 0.191 7.284" Properties=species:S:1:pos:R:3 comment="K2MgTlHg6 | Alexandria | PBE-GGA | optimized geometry" dos_at_fermi_per_ev_cell=4.781 final_energy_ev_per_atom=-0.931 pbc="T T T"
K 1.282 1.827 2.022
K 9.571 5.521 5.262
Mg 4.296 3.579 0.000
Tl 4.203 0.095 3.642
Hg 2.330 5.272 1.627
Hg 6.552 6.635 6.743
Hg 5.426 2.695 4.877
Hg 5.427 4.654 2.407
Hg 4.301 0.713 0.540
Hg 8.523 2.076 5.657

---

17.
4
Lattice="0.000 3.882 3.882 3.882 0.000 3.882 3.882 3.882 0.000" Properties=species:S:1:pos:R:3 comment="KMgTlHg | Alexandria | PBE-GGA | optimized geometry" dos_at_fermi_per_ev_cell=1.953 final_energy_ev_per_atom=-1.377 pbc="T T T"
K 0.000 0.000 0.000
Mg 3.882 3.882 3.882
Tl 5.823 5.823 5.823
Hg 1.941 1.941 1.941

---

18.
5
Lattice="5.305 0.000 0.000 0.000 5.305 0.000 0.000 0.000 6.005" Properties=species:S:1:pos:R:3 comment="KMg2VHg | Alexandria | PBE-GGA | optimized geometry" dos_at_fermi_per_ev_cell=8.077 final_energy_ev_per_atom=-1.668 pbc="T T T"
K 0.000 0.000 0.000
Mg 0.000 2.652 3.002
Mg 2.652 0.000 3.002
V 2.652 2.652 0.000
Hg 0.000 0.000 3.002

---

19.
5
Lattice="5.408 0.000 0.000 0.000 5.408 0.000 0.000 0.000 5.990" Properties=species:S:1:pos:R:3 comment="KMgZr2Hg | Alexandria | PBE-GGA | optimized geometry" dos_at_fermi_per_ev_cell=6.980 final_energy_ev_per_atom=-3.052 pbc="T T T"
K 0.000 0.000 0.000
Mg 2.704 2.704 0.000
Zr 0.000 2.704 2.995
Zr 2.704 0.000 2.995
Hg 0.000 0.000 2.995

---

20.
4
Lattice="3.140 -5.635 0.000 3.140 5.635 0.000 -1.416 0.000 2.674" Properties=species:S:1:pos:R:3 comment="KMn2Hg | Alexandria | PBE-GGA | optimized geometry" dos_at_fermi_per_ev_cell=3.619 final_energy_ev_per_atom=-4.117 pbc="T T T"
K 0.000 0.000 0.000
Mn 0.862 2.817 1.337
Mn 0.862 -2.817 1.337
Hg 3.140 0.000 0.000

---

21.
4
Lattice="0.000 3.741 3.741 3.741 0.000 3.741 3.741 3.741 0.000" Properties=species:S:1:pos:R:3 comment="KMnHg2 | Alexandria | PBE-GGA | optimized geometry" e_above_lowest_polymorph_mev_per_atom=145.6 dos_at_fermi_per_ev_cell=2.704 final_energy_ev_per_atom=-2.422 pbc="T T T"
K 0.000 0.000 0.000
Mn 3.741 3.741 3.741
Hg 1.870 1.870 1.870
Hg 5.611 5.611 5.611

---

22.
4
Lattice="-2.415 2.415 4.099 2.415 -2.415 4.099 2.415 2.415 -4.099" Properties=species:S:1:pos:R:3 comment="KMn2Hg | Alexandria | PBE-GGA | optimized geometry" dos_at_fermi_per_ev_cell=3.958 final_energy_ev_per_atom=-4.082 pbc="T T T"
K 0.000 0.000 0.000
Mn 2.415 0.000 2.050
Mn 0.000 0.000 4.099
Hg 0.000 2.415 2.050

---

23.
4
Lattice="3.417 0.000 0.000 0.000 4.226 0.000 0.000 0.000 7.958" Properties=species:S:1:pos:R:3 comment="KMnHg2 | Alexandria | PBE-GGA | optimized geometry" e_above_lowest_polymorph_mev_per_atom=76.8 dos_at_fermi_per_ev_cell=2.339 final_energy_ev_per_atom=-2.490 pbc="T T T"
K 0.000 0.000 0.000
Mn 1.709 2.113 2.910
Hg 0.000 0.000 3.419
Hg 1.709 2.113 5.728

---

24.
4
Lattice="0.000 3.711 3.711 3.711 0.000 3.711 3.711 3.711 0.000" Properties=species:S:1:pos:R:3 comment="KMnHg2 | Alexandria | PBE-GGA | optimized geometry" e_above_lowest_polymorph_mev_per_atom=240.9 dos_at_fermi_per_ev_cell=1.827 final_energy_ev_per_atom=-2.326 pbc="T T T"
K 0.000 0.000 0.000
Mn 5.567 5.567 5.567
Hg 1.856 1.856 1.856
Hg 3.711 3.711 3.711

---

25.
8
Lattice="-2.869 2.869 9.063 2.869 -2.869 9.063 2.869 2.869 -9.063" Properties=species:S:1:pos:R:3 comment="KMnHg2 | Alexandria | PBE-GGA | optimized geometry" e_above_lowest_polymorph_mev_per_atom=162.3 dos_at_fermi_per_ev_cell=3.400 final_energy_ev_per_atom=-2.405 pbc="T T T"
K 0.000 0.000 0.000
K 0.000 2.869 4.531
Mn 2.869 0.000 4.531
Mn 0.000 0.000 9.063
Hg 1.435 -0.409 6.797
Hg 2.460 1.435 2.266
Hg 1.435 3.278 -2.266
Hg 0.409 1.435 11.329

---

26.
4
Lattice="-1.495 2.817 5.517 1.495 -2.817 5.517 1.495 2.817 -5.517" Properties=species:S:1:pos:R:3 comment="KMn2Hg | Alexandria | PBE-GGA | optimized geometry" dos_at_fermi_per_ev_cell=3.159 final_energy_ev_per_atom=-4.202 pbc="T T T"
K 0.000 0.000 0.000
Mn 1.495 0.000 3.274
Mn 0.000 0.000 5.452
Hg 0.000 2.817 2.372

---

27.
4
Lattice="1.937 1.118 8.854 -1.937 1.118 8.854 0.000 -2.236 8.854" Properties=species:S:1:pos:R:3 comment="KMnHg2 | Alexandria | PBE-GGA | optimized geometry" e_above_lowest_polymorph_mev_per_atom=100.7 dos_at_fermi_per_ev_cell=1.954 final_energy_ev_per_atom=-2.466 pbc="T T T"
K 0.000 0.000 0.000
Mn 0.000 0.000 13.281
Hg 0.000 0.000 6.120
Hg 0.000 0.000 20.442